(1)
Ba3MoAs: relaxed, GGA-PBE.

Properties
The offset from the most stable computed form is 0.00 kJ per mole of atoms. As for the formation energy from the elements: 386 meV per atom. The total magnetization is 5.096 μB/cell.

Geometry as POSCAR:
```
Ba3MoAs
1.0
-2.250 4.362 -4.011
-5.710 -0.450 2.715
1.584 4.577 4.089
As Mo Ba
1 1 3
direct
0.000 0.000 0.000 As
0.500 0.500 0.500 Mo
0.000 0.000 0.500 Ba
0.500 0.000 0.000 Ba
0.000 0.500 0.000 Ba
```


(2)
BaMoAs2: relaxed, GGA-PBE.

Properties
The offset from the most stable computed form is 98.59 kJ per mole of atoms. As for the formation energy from the elements: 661 meV per atom. The total magnetization is 2.424 μB/cell.

Geometry as POSCAR:
```
BaMoAs2
1.0
-0.109 1.929 4.705
2.658 -2.224 3.723
4.121 2.295 1.904
As Ba Mo
2 1 1
direct
0.250 0.250 0.250 As
0.000 0.000 0.000 As
0.500 0.500 0.500 Ba
0.750 0.750 0.750 Mo
```


(3)
BaMoAs2: relaxed, GGA-PBE.

Properties
The offset from the most stable computed form is 33.29 kJ per mole of atoms. As for the formation energy from the elements: -15 meV per atom. The total magnetization is 0.000 μB/cell.

Geometry as POSCAR:
```
BaMoAs2
1.0
-2.339 1.739 -2.146
-0.367 -2.984 -2.018
-6.066 -2.407 4.663
As Mo Ba
2 1 1
direct
0.000 0.000 0.877 As
0.500 0.500 0.225 As
0.500 0.500 0.928 Mo
0.000 0.000 0.470 Ba
```


(4)
BaMo3As: relaxed, GGA-PBE.

Properties
The offset from the most stable computed form is 192.01 kJ per mole of atoms. As for the formation energy from the elements: 3119 meV per atom. The total magnetization is 2.785 μB/cell.

Geometry as POSCAR:
```
BaMo3As
1.0
5.000 0.000 0.000
0.000 5.000 0.000
0.000 0.000 5.000
Ba Mo As
1 3 1
direct
0.000 0.000 0.000 Ba
0.000 0.000 0.500 Mo
0.500 0.000 0.000 Mo
0.000 0.500 0.000 Mo
0.500 0.500 0.500 As
```


(5)
Ba2MoAs: relaxed, GGA-PBE.

Properties
As for the formation energy from the elements: 572 meV per atom. The total magnetization is 0.000 μB/cell.

Geometry as POSCAR:
```
Ba2MoAs
1.0
3.456 0.000 0.000
0.000 3.456 0.000
0.000 0.000 9.870
As Ba Mo
1 2 1
direct
0.500 0.500 0.750 As
0.000 0.000 0.988 Ba
0.000 0.000 0.512 Ba
0.500 0.500 0.250 Mo
```


(6)
Ba2MoAs: relaxed, GGA-PBE.

Properties
As for the formation energy from the elements: 484 meV per atom. The total magnetization is 4.459 μB/cell.

Geometry as POSCAR:
```
Ba2MoAs
1.0
-6.066 2.190 -0.423
-4.281 -2.770 3.971
5.861 2.655 0.616
Ba Mo As
2 1 1
direct
0.250 0.750 0.500 Ba
0.000 0.000 0.000 Ba
0.500 0.500 0.000 Mo
0.750 0.250 0.500 As
```


(7)
BaMoAs2: relaxed, GGA-PBE.

Properties
The offset from the most stable computed form is 82.04 kJ per mole of atoms. As for the formation energy from the elements: 490 meV per atom. The total magnetization is 0.000 μB/cell.

Geometry as POSCAR:
```
BaMoAs2
1.0
-8.614 0.708 4.284
-8.392 -2.617 3.971
-6.967 -1.083 6.583
As Ba Mo
2 1 1
direct
0.006 0.006 0.006 As
0.264 0.264 0.264 As
0.500 0.500 0.500 Ba
0.730 0.730 0.730 Mo
```


(8)
Ba2NiMoAs: relaxed, GGA-PBE.

Properties
As for the formation energy from the elements: 649 meV per atom. The total magnetization is 0.000 μB/cell.

Geometry as POSCAR:
```
Ba2NiMoAs
1.0
-2.425 -4.386 -3.135
3.388 -3.914 2.854
-3.163 -0.472 3.106
Ba As Ni Mo
2 1 1 1
direct
0.500 0.000 0.000 Ba
0.000 0.500 0.000 Ba
0.500 0.500 0.500 As
0.000 0.000 0.500 Ni
0.000 0.000 0.000 Mo
```


What is the formula in the fifth record?
Ba2MoAs